Record 1
VASP calculation (PBE) on CsHf4S8 after structural relaxation.

E_tot, eV/cell: -95.04
Excess energy over the best structure of this formula in the dataset, kJ/mol of formula units: 0
Crystal system: trigonal
Formation energy without anion corrections, eV per formula unit: -21.35

Structure (POSCAR):
```
CsHf4S8
1.0
3.626 2.093 8.750
-3.626 2.093 8.750
0.000 -4.187 8.750
Cs Hf S
1 4 8
Direct
0.000 0.000 0.000 Cs
0.000 0.000 0.500 Hf
0.000 0.500 0.000 Hf
0.500 0.000 0.000 Hf
0.500 0.500 0.500 Hf
0.223 0.223 0.223 S
0.224 0.722 0.722 S
0.278 0.278 0.776 S
0.278 0.776 0.278 S
0.722 0.224 0.722 S
0.722 0.722 0.224 S
0.776 0.278 0.278 S
0.777 0.777 0.777 S
```

=====

Record 2
VASP calculation (PBE) on GaSn2RuI after structural relaxation.

E_tot, eV/cell: -22.95
Excess energy over the best structure of this formula in the dataset, kJ/mol of formula units: 0
Crystal system: tetragonal
Formation energy without anion corrections, eV per formula unit: -1.09

Structure (POSCAR):
```
GaSn2RuI
1.0
5.187 0.000 0.000
0.000 5.187 0.000
0.000 0.000 4.956
Ga Sn Ru I
1 2 1 1
Direct
0.000 0.000 0.000 Ga
0.000 0.500 0.500 Sn
0.500 0.000 0.500 Sn
0.000 0.000 0.500 Ru
0.500 0.500 0.000 I
```